# LaSbCl2

A geometry-optimized LaSbCl2 structure (PBE-GGA, Alexandria via LeMat-Bulk).

Properties
Distance to the lowest polymorph of the same formula = 835 meV/atom
Formation energy (no corrections) = -0.60 eV per atom

CIF file:
```
data_LaSbCl2
_chemical_formula_sum 'La1 Sb1 Cl2'
_cell_length_a 10.6052
_cell_length_b 10.6052
_cell_length_c 10.6052
_cell_angle_alpha 19.68
_cell_angle_beta 19.68
_cell_angle_gamma 19.68
_symmetry_space_group_name_H-M 'P 1'
_symmetry_Int_Tables_number 1
_symmetry_space_group_name_Hall 'P 1'
loop_
_atom_site_label
_atom_site_type_symbol
_atom_site_fract_x
_atom_site_fract_y
_atom_site_fract_z
Sb1 Sb 0.5000 0.5000 0.5000
Cl1 Cl 0.0868 0.0868 0.0868
Cl2 Cl 0.9132 0.9132 0.9132
La1 La 0.0000 0.0000 0.0000
```